Below is a relaxed CaCu crystal, with properties calculated at the PBE level.

Output
- M_tot (μB per formula unit) = 0.0
- energy of formation from the pure elements (kcal/mol of atoms) = -3.482
- SG = Pnma, No. 62
- D(E_F) (states/eV/atom) = 0.579
- final energy (eV/cell) = -25.6

Unit cell a=7.7543 b=4.2420 c=5.8157 alpha=90.00 beta=90.00 gamma=90.00
Fractional positions:
Ca 0.1794 0.2500 0.1255
Ca 0.3206 0.7500 0.6255
Ca 0.6794 0.2500 0.3745
Ca 0.8206 0.7500 0.8745
Cu 0.0295 0.2500 0.6061
Cu 0.4705 0.7500 0.1061
Cu 0.5295 0.2500 0.8939
Cu 0.9705 0.7500 0.3939

=====

Below is a relaxed Ca5Cu4 crystal, with properties calculated at the PBE level.

Output
- M_tot (μB per formula unit) = 0.0
- energy of formation from the pure elements (kcal/mol of atoms) = -0.175
- SG = P6_3/mcm, No. 193
- D(E_F) (states/eV/atom) = 0.651
- final energy (eV/cell) = -52.9

Unit cell a=8.8691 b=8.8691 c=6.7336 alpha=90.00 beta=90.00 gamma=120.00
Fractional positions:
Ca 0.0000 0.2657 0.2500
Ca 0.0000 0.7343 0.7500
Ca 0.2657 0.0000 0.2500
Ca 0.2657 0.2657 0.7500
Ca 0.3333 0.6667 0.0000
Ca 0.3333 0.6667 0.5000
Ca 0.6667 0.3333 0.0000
Ca 0.6667 0.3333 0.5000
Ca 0.7343 0.0000 0.7500
Ca 0.7343 0.7343 0.2500
Cu 0.0000 0.0000 0.0000
Cu 0.0000 0.0000 0.5000
Cu 0.0000 0.3937 0.7500
Cu 0.0000 0.6063 0.2500
Cu 0.3937 0.0000 0.7500
Cu 0.3937 0.3937 0.2500
Cu 0.6063 0.0000 0.2500
Cu 0.6063 0.6063 0.7500

=====

Below is a relaxed CaCu crystal, with properties calculated at the PBE level.

Output
- M_tot (μB per formula unit) = 0.0
- energy of formation from the pure elements (kcal/mol of atoms) = 7.502
- SG = I-43m, No. 217
- D(E_F) (states/eV/atom) = 1.125
- final energy (eV/cell) = -21.8

Unit cell a=7.3485 b=7.3485 c=7.3485 alpha=109.47 beta=109.47 gamma=109.47
Fractional positions:
Ca 0.0000 0.0000 0.5867
Ca 0.0000 0.5867 0.0000
Ca 0.4133 0.4133 0.4133
Ca 0.5867 0.0000 0.0000
Cu 0.0000 0.0000 0.2051
Cu 0.0000 0.2051 0.0000
Cu 0.2051 0.0000 0.0000
Cu 0.7949 0.7949 0.7949